# 1
The following is a GGA-PBE calculation of a geometry-optimized TlCd3Sn2 structure, from the Alexandria database.

extended XYZ file:
```
12
Lattice="5.106 0.000 1.406 1.411 7.492 4.850 0.264 0.461 9.018" Properties=species:S:1:pos:R:3 pbc="T T T"
Cd 2.517 4.006 10.812
Cd 5.745 2.769 9.061
Cd 3.792 1.051 6.180
Tl 4.671 1.004 2.985
Tl 2.110 6.949 12.288
Sn 1.474 2.499 4.621
Sn 3.762 6.252 6.287
Sn 3.019 1.700 8.986
Cd 1.036 5.183 6.212
Cd 2.990 6.901 9.094
Sn 5.307 5.454 10.652
Cd 4.265 3.946 4.461
```

Results
Final energy ... -25.75 eV for the cell shown
Energy above the lowest structure with this stoichiometry ... 0.000 eV/atom
Calculated formation energy ... 0.92 kcal/mol of atoms
Spin magnetization ... 0.00 μB/cell
Space group ... C2/m (12)

***

# 2
The following is a GGA-PBE calculation of a geometry-optimized Tl3CdSn6 structure, from the Alexandria database.

extended XYZ file:
```
20
Lattice="-2.913 5.742 -5.663 -7.569 -1.885 3.562 2.582 5.615 5.945" Properties=species:S:1:pos:R:3 pbc="T T T"
Sn -6.490 7.116 5.240
Tl -0.682 5.180 3.928
Sn -2.784 0.111 1.317
Sn -3.745 7.055 3.940
Tl -3.438 5.234 -1.872
Sn -8.105 7.156 1.823
Sn 0.204 2.317 2.021
Cd -3.950 4.736 1.922
Tl -2.145 8.047 1.094
Sn -6.732 4.847 3.242
Sn -1.411 2.357 -1.397
Tl -5.756 1.426 2.749
Sn -4.156 2.417 -0.096
Cd 0.000 0.000 0.000
Tl -4.463 4.238 5.716
Sn -2.536 2.382 3.319
Sn -5.365 7.090 0.525
Sn -5.117 9.362 2.527
Sn -1.169 4.626 0.602
Tl -7.219 4.292 -0.084
```

Results
Final energy ... -63.18 eV for the cell shown
Calculated formation energy ... 1.02 kcal/mol of atoms
Spin magnetization ... 0.00 μB/cell
Space group ... R-3c (167)

***

Among the records above, which one has the highest final energy?
TlCd3Sn2

***

What is the spin magnetization in the second record?
0.00 μB/cell